Entry from Alexandria: a geometry-optimized PaGa2WO8 structure (PBE+U).

Summary:
For the total energy, the calculation gives -7.5295 eV per atom. Its space group is I-4 (82).

Cell and atoms, written as POSCAR:
```
PaGa2WO8
1.0
5.054 0.000 0.000
0.000 5.054 0.000
-2.527 -2.527 5.248
O Ga Pa W
8 2 1 1
Cartesian
1.577 1.151 0.859
3.477 3.903 0.859
-1.422 -1.719 3.586
1.376 -0.950 4.388
-1.376 0.950 4.388
0.808 3.949 1.662
4.246 1.105 1.662
1.422 1.719 3.586
2.527 2.527 0.000
0.000 2.527 2.624
2.527 0.000 2.624
0.000 0.000 0.000
```